A relaxed structure of Fe2PW, computed with PBE-GGA.

abc: 3.638 3.638 7.197
angles: 90.00 90.00 90.00
Space group I4/mmm (No. 139)
One atom of each set of equivalent atoms:
Fe 0.000 0.500 0.250
P 0.000 0.000 0.000
W 0.000 0.000 0.500

The value obtained for the formation energy is 0.21 eV per formula unit.


A relaxed structure of Cd3SeS, computed with PBE-GGA.

abc: 5.299 5.299 5.299
angles: 90.00 90.00 90.00
Space group Pm-3m (No. 221)
One atom of each set of equivalent atoms:
Cd 0.000 0.000 0.500
Se 0.000 0.000 0.000
S 0.500 0.500 0.500

The calculation puts the energy relative to the lowest polymorph listed for this composition at 83 kJ/mol of formula units. Its formation energy without anion corrections is 291 meV per atom.


A relaxed structure of CeScSi2Ru, computed with PBE-GGA.

abc: 4.067 4.067 11.262
angles: 90.00 90.00 90.00
Space group I-4m2 (No. 119)
One atom of each set of equivalent atoms:
Ce 0.000 0.000 0.000
Sc 0.000 0.500 0.250
Si 0.000 0.000 0.395
Ru 0.000 0.500 0.750

Its formation energy without anion corrections is -764 meV per atom.


A relaxed structure of Zn2Ag5Au12, computed with PBE-GGA.

abc: 14.944 9.604 4.963
angles: 90.00 104.32 90.00
Space group C2/m (No. 12)
One atom of each set of equivalent atoms:
Zn 0.000 0.244 0.000
Ag 0.000 0.500 0.500
Ag 0.196 0.000 0.821
Ag 0.203 0.500 0.610
Au 0.081 0.000 0.234
Au 0.096 0.240 0.615
Au 0.098 0.500 0.049
Au 0.196 0.247 0.201

The value obtained for the formation energy is -0.65 eV per formula unit. The calculation puts the energy relative to the lowest polymorph listed for this composition at 0 kJ/mol of formula units.


A relaxed structure of BeAg2BiIr, computed with PBE-GGA.

abc: 4.565 4.565 4.348
angles: 90.00 90.00 90.00
Space group P4/mmm (No. 123)
One atom of each set of equivalent atoms:
Be 0.000 0.000 0.000
Ag 0.000 0.500 0.000
Bi 0.500 0.500 0.500
Ir 0.000 0.000 0.500

The value obtained for the formation energy is 1.58 eV per formula unit.


A relaxed structure of Li2TmAgHg4, computed with PBE-GGA.

abc: 4.7652 4.7652 25.6590
angles: 90.00 90.00 120.00
Space group R-3m (No. 166, hexagonal axes)
One atom of each set of equivalent atoms:
Li 0.0000 0.0000 0.2372
Tm 0.0000 0.0000 0.0000
Ag 0.0000 0.0000 0.5000
Hg 0.0000 0.0000 0.1218
Hg 0.0000 0.0000 0.3854

The value obtained for the formation energy is -2.21 eV per formula unit.


A relaxed structure of Mg2InCl, computed with PBE-GGA.

abc: 3.809 5.302 10.576
angles: 90.00 90.00 90.00
Space group Cmm2 (No. 35)
One atom of each set of equivalent atoms:
Mg 0.000 0.000 0.000
Mg 0.000 0.500 0.233
In 0.000 0.000 0.473
Cl 0.000 0.500 0.856

The calculation puts the energy relative to the lowest polymorph listed for this composition at 39 kJ/mol of formula units. Its formation energy without anion corrections is -458 meV per atom.


A relaxed structure of CeGa2Au, computed with PBE-GGA.

abc: 4.3776 4.3776 15.2622
angles: 90.00 90.00 120.00
Space group R-3m (No. 166, hexagonal axes)
One atom of each set of equivalent atoms:
Ce 0.0000 0.0000 0.0000
Ga 0.0000 0.0000 0.2220
Au 0.0000 0.0000 0.5000

The value obtained for the formation energy is -2.26 eV per formula unit.


Number 1: E -8.7687 eV per atom. Number 2: E -1.7806 eV per atom. Number 3: E -7.2416 eV per atom. Number 4: E -2.9884 eV per atom. Number 5: E -4.1180 eV per atom. Number 6: E -1.8207 eV per atom. Number 7: E -2.4016 eV per atom. Number 8: E -4.3800 eV per atom.